The following is a DFT calculation (PBE) of a geometry-optimized AcInPd structure.

Computed properties:
relative energy among the computed polymorphs = 0.448 eV per formula unit
size of the total moment = 0.00 μB/f.u.
uncorrected energy = -0.1692 hartree per atom
energy of formation from the pure elements = -0.592 eV/atom
volume = 29.70 Å³/atom
D(E_F) = 1.275 states/eV/atom

Cell lengths 7.090, 7.090, 7.090 Å; angles 90.00, 90.00, 90.00 degrees
Space group F-43m (No. 216)
Symmetry-distinct sites (fractional):
Ac (0.000, 0.000, 0.000) [4 per cell]
In (0.000, 0.000, 0.500) [4 per cell]
Pd (0.250, 0.250, 0.250) [4 per cell]